A plane-wave DFT calculation with PBE was carried out for Tb12Dy7Sn after structural relaxation.

The structure belongs to space group R-3 (No. 148, hexagonal axes); the cell edges are 12.2405, 12.2405 and 15.3588 Å and the angles 90.00°, 90.00° and 120.00°. The inequivalent atoms are Tb at (0.0285, 0.1866, 0.3123), Tb at (0.0688, 0.8117, 0.9229), Dy at (0.0000, 0.0000, 0.5000), Dy at (0.0146, 0.4403, 0.2005) and Sn at (0.0000, 0.0000, 0.0000).

Its uncorrected energy is -4.437 eV/atom. The value obtained for the formation energy is 0.1517 eV per atom. For the volume, the calculation gives 33.22 Å³/atom. The crystal system is trigonal.